# CrPdC2F

A geometry-optimized CrPdC2F structure (PBE+U, Alexandria via LeMat-Bulk).

## Properties
D(E_F) ... 4.92 states/eV per cell
Energy ... -24.32 eV for the cell shown

a = 3.812 Å, b = 5.567 Å, c = 3.812 Å
α = 90.00°, β = 90.00°, γ = 90.00°
Each line ends with the local moment (μB).
Atoms (fractional coordinates):
Cr: 0.000 0.500 0.000  0.85
C: 0.000 0.000 0.500  0.35
C: 0.500 0.000 0.000  0.14
Pd: 0.000 0.000 0.000  0.10
F: 0.500 0.500 0.500  0.01